No. 1
# K2RbMnSe | Alexandria | GGA-PBE | optimized geometry
data_K2RbMnSe
_chemical_formula_sum 'K2 Rb1 Mn1 Se1'
_cell_length_a 6.5568
_cell_length_b 6.5568
_cell_length_c 5.5483
_cell_angle_alpha 90.00
_cell_angle_beta 90.00
_cell_angle_gamma 90.00
_symmetry_space_group_name_H-M 'P 4/m m m'
_symmetry_Int_Tables_number 123
_symmetry_space_group_name_Hall '-P 4 2'
loop_
_atom_site_label
_atom_site_type_symbol
_atom_site_fract_x
_atom_site_fract_y
_atom_site_fract_z
_atom_site_occupancy
K1 K 0.0000 0.5000 0.0000 1
Rb1 Rb 0.0000 0.0000 0.0000 1
Mn1 Mn 0.0000 0.0000 0.5000 1
Se1 Se 0.5000 0.5000 0.5000 1
# **Crystal system**: tetragonal
# **E_tot**: -0.0858 Ha/atom
# **V**: 47.71 Å³/atom
# **Energy relative to the elements, uncorrected**: 0.828 eV/atom

=====

No. 2
# Sm2Ga3Cu4Au | Alexandria | GGA-PBE | optimized geometry
data_Sm2Ga3Cu4Au
_chemical_formula_sum 'Sm2 Ga3 Cu4 Au1'
_cell_length_a 4.0958
_cell_length_b 4.0958
_cell_length_c 10.7895
_cell_angle_alpha 90.00
_cell_angle_beta 90.00
_cell_angle_gamma 90.00
_symmetry_space_group_name_H-M 'P -4 m 2'
_symmetry_Int_Tables_number 115
loop_
_symmetry_equiv_pos_as_xyz
'x,y,z'
'y,-x,-z'
'-x,-y,z'
'-y,x,-z'
'-x,y,z'
'-y,-x,-z'
'x,-y,z'
'y,x,-z'
loop_
_atom_site_label
_atom_site_type_symbol
_atom_site_fract_x
_atom_site_fract_y
_atom_site_fract_z
_atom_site_occupancy
Sm1 Sm 0.0000 0.5000 0.2446 1
Ga1 Ga 0.0000 0.5000 0.8726 1
Ga2 Ga 0.5000 0.5000 0.5000 1
Cu1 Cu 0.0000 0.0000 0.0000 1
Cu2 Cu 0.0000 0.5000 0.6489 1
Cu3 Cu 0.5000 0.5000 0.0000 1
Au1 Au 0.0000 0.0000 0.5000 1
# **E_form**: -0.41 eV/atom
# **Crystal system**: tetragonal
# **E_tot**: -0.1555 Ha/atom
# **V**: 18.10 Å³/atom